Below is a relaxed Ca2LaSc crystal, with properties calculated at the PBE-GGA level.

## Properties
Calculated formation energy (meV per atom): 158
Crystal system: orthorhombic
E above lowest polymorph (meV per atom): 76.1

abc: 7.020 7.020 7.020
angles: 147.41 130.64 60.41
Fractional positions:
Ca  0.232  0.232  0.000
Ca  0.768  0.768  0.000
La  0.500  0.000  0.500
Sc  0.000  0.500  0.500